(1)
DFT (PBE-GGA) results for a relaxed structure of CePrGaRh.

Summary:
The calculation puts the excess energy over the best structure of this formula in the dataset at 166.4 meV/atom. The crystal system is cubic. For the energy of formation from the pure elements, the calculation gives -480 meV/atom. As for the density of states at the Fermi level: 28.0 states/eV per cell.

Cell: 7.227 7.227 7.227 Å, 90.00 90.00 90.00°
Space group F-43m (No. 216)
Symmetry-distinct sites (fractional):
Ce (0.000, 0.000, 0.000)
Pr (0.000, 0.000, 0.500)
Ga (0.250, 0.250, 0.250)
Rh (0.250, 0.250, 0.750)

=====

(2)
DFT (PBE-GGA) results for a relaxed structure of CePr2Ga3Rh4.

Summary:
The crystal system is tetragonal. For the energy of formation from the pure elements, the calculation gives -767 meV/atom. As for the density of states at the Fermi level: 10.8 states/eV per cell.

Cell: 4.351 4.351 10.788 Å, 90.00 90.00 90.00°
Space group P-4m2 (No. 115)
Symmetry-distinct sites (fractional):
Ce (0.000, 0.000, 0.000)
Pr (0.000, 0.500, 0.719)
Ga (0.000, 0.500, 0.382)
Ga (0.500, 0.500, 0.000)
Rh (0.000, 0.000, 0.500)
Rh (0.000, 0.500, 0.146)
Rh (0.500, 0.500, 0.500)

=====

(3)
DFT (PBE-GGA) results for a relaxed structure of CePrGaRh.

Summary:
The calculation puts the excess energy over the best structure of this formula in the dataset at 0.0 meV/atom. The crystal system is orthorhombic. For the energy of formation from the pure elements, the calculation gives -647 meV/atom. As for the density of states at the Fermi level: 10.7 states/eV per cell.

Cell: 3.866 4.258 11.801 Å, 90.00 90.00 90.00°
Space group Amm2 (No. 38)
Symmetry-distinct sites (fractional):
Ce (0.000, 0.000, 0.000)
Pr (0.500, 0.000, 0.721)
Ga (0.000, 0.000, 0.306)
Rh (0.500, 0.000, 0.462)

=====

(4)
DFT (PBE-GGA) results for a relaxed structure of CePrGaRu.

Summary:
The calculation puts the excess energy over the best structure of this formula in the dataset at 194.8 meV/atom. The crystal system is cubic. For the energy of formation from the pure elements, the calculation gives -273 meV/atom. As for the density of states at the Fermi level: 21.1 states/eV per cell.

Cell: 7.182 7.182 7.182 Å, 90.00 90.00 90.00°
Space group F-43m (No. 216)
Symmetry-distinct sites (fractional):
Ce (0.000, 0.000, 0.000)
Pr (0.000, 0.000, 0.500)
Ga (0.250, 0.250, 0.250)
Ru (0.250, 0.250, 0.750)